(1)
A plane-wave DFT calculation with GGA-PBEsol was carried out for a geometry-optimized VSeO4 structure.

a = 3.888 Å, b = 9.837 Å, c = 7.972 Å
α = 90.00°, β = 99.68°, γ = 90.00°
Fractional positions:
V 0.016 0.005 0.304
V 0.016 0.495 0.804
V 0.984 0.505 0.196
V 0.984 0.995 0.696
Se 0.192 0.708 0.537
Se 0.192 0.792 0.037
Se 0.808 0.208 0.963
Se 0.808 0.292 0.463
O 0.015 0.127 0.503
O 0.015 0.373 0.003
O 0.129 0.113 0.898
O 0.129 0.387 0.398
O 0.132 0.666 0.324
O 0.132 0.834 0.824
O 0.434 0.507 0.802
O 0.434 0.993 0.302
O 0.566 0.007 0.698
O 0.566 0.493 0.198
O 0.868 0.166 0.176
O 0.868 0.334 0.676
O 0.871 0.613 0.602
O 0.871 0.887 0.102
O 0.985 0.627 0.997
O 0.985 0.873 0.497

Output
The spin magnetization comes out at 1.00 μB per formula unit. The formation energy (no corrections) comes out at -146.96 kJ per mole of atoms. Its density of states at the Fermi level is 0.3 states/eV/f.u.



(2)
A plane-wave DFT calculation with GGA-PBEsol was carried out for a geometry-optimized YVSe2O8 structure.

a = 10.521 Å, b = 5.377 Å, c = 5.377 Å
α = 84.73°, β = 90.00°, γ = 90.00°
Fractional positions:
Y 0.000 0.000 0.000
Y 0.000 0.500 0.500
V 0.500 0.496 0.496
V 0.500 0.996 0.996
Se 0.205 0.437 0.937
Se 0.272 0.905 0.405
Se 0.728 0.405 0.905
Se 0.795 0.937 0.437
O 0.113 0.324 0.189
O 0.113 0.689 0.824
O 0.120 0.825 0.325
O 0.138 0.235 0.735
O 0.323 0.598 0.476
O 0.323 0.976 0.098
O 0.467 0.283 0.783
O 0.500 0.293 0.293
O 0.500 0.793 0.793
O 0.533 0.783 0.283
O 0.677 0.098 0.976
O 0.677 0.476 0.598
O 0.862 0.735 0.235
O 0.880 0.325 0.825
O 0.887 0.189 0.324
O 0.887 0.824 0.689

Output
The spin magnetization comes out at 0.00 μB per formula unit. The formation energy (no corrections) comes out at -179.97 kJ per mole of atoms.



(3)
A plane-wave DFT calculation with GGA-PBEsol was carried out for a geometry-optimized Y2Se3O12 structure.

a = 13.204 Å, b = 9.606 Å, c = 9.690 Å
α = 90.00°, β = 90.00°, γ = 90.00°
Fractional positions:
Y 0.119 0.250 0.038
Y 0.119 0.750 0.538
Y 0.381 0.250 0.538
Y 0.381 0.750 0.038
Y 0.619 0.250 0.962
Y 0.619 0.750 0.462
Y 0.881 0.250 0.462
Y 0.881 0.750 0.962
Se 0.000 0.030 0.750
Se 0.000 0.970 0.250
Se 0.147 0.397 0.383
Se 0.147 0.603 0.883
Se 0.353 0.103 0.883
Se 0.353 0.897 0.383
Se 0.500 0.470 0.250
Se 0.500 0.530 0.750
Se 0.647 0.103 0.617
Se 0.647 0.897 0.117
Se 0.853 0.397 0.117
Se 0.853 0.603 0.617
O 0.032 0.337 0.414
O 0.032 0.663 0.914
O 0.058 0.130 0.863
O 0.058 0.870 0.363
O 0.086 0.067 0.173
O 0.086 0.933 0.673
O 0.149 0.432 0.902
O 0.149 0.568 0.402
O 0.181 0.360 0.223
O 0.181 0.640 0.723
O 0.226 0.325 0.494
O 0.226 0.675 0.994
O 0.274 0.175 0.994
O 0.274 0.825 0.494
O 0.319 0.140 0.723
O 0.319 0.860 0.223
O 0.351 0.068 0.402
O 0.351 0.932 0.902
O 0.414 0.433 0.673
O 0.414 0.567 0.173
O 0.442 0.370 0.363
O 0.442 0.630 0.863
O 0.468 0.163 0.914
O 0.468 0.837 0.414
O 0.532 0.163 0.586
O 0.532 0.837 0.086
O 0.558 0.370 0.137
O 0.558 0.630 0.637
O 0.586 0.433 0.827
O 0.586 0.567 0.327
O 0.649 0.068 0.098
O 0.649 0.932 0.598
O 0.681 0.140 0.777
O 0.681 0.860 0.277
O 0.726 0.175 0.506
O 0.726 0.825 0.006
O 0.774 0.325 0.006
O 0.774 0.675 0.506
O 0.819 0.360 0.277
O 0.819 0.640 0.777
O 0.851 0.432 0.598
O 0.851 0.568 0.098
O 0.914 0.067 0.327
O 0.914 0.933 0.827
O 0.942 0.130 0.637
O 0.942 0.870 0.137
O 0.968 0.337 0.086
O 0.968 0.663 0.586

Output
The spin magnetization comes out at 0.00 μB per formula unit. The formation energy (no corrections) comes out at -152.92 kJ per mole of atoms. Its density of states at the Fermi level is 0.0 states/eV/f.u. The offset from the most stable computed form is 0.0 meV per atom.



(4)
A plane-wave DFT calculation with GGA-PBEsol was carried out for a geometry-optimized YSeO3 structure.

a = 5.907 Å, b = 12.176 Å, c = 8.804 Å
α = 90.00°, β = 106.35°, γ = 90.00°
Fractional positions:
Y 0.137 0.242 0.157
Y 0.137 0.258 0.657
Y 0.262 0.561 0.083
Y 0.262 0.939 0.583
Y 0.738 0.061 0.417
Y 0.738 0.439 0.917
Y 0.863 0.742 0.343
Y 0.863 0.758 0.843
Se 0.125 0.518 0.675
Se 0.125 0.982 0.175
Se 0.454 0.655 0.483
Se 0.454 0.845 0.983
Se 0.546 0.155 0.017
Se 0.546 0.345 0.517
Se 0.875 0.018 0.825
Se 0.875 0.482 0.325
O 0.061 0.588 0.282
O 0.061 0.912 0.782
O 0.093 0.095 0.582
O 0.093 0.405 0.082
O 0.249 0.747 0.994
O 0.249 0.753 0.494
O 0.284 0.224 0.924
O 0.284 0.276 0.424
O 0.364 0.517 0.853
O 0.364 0.983 0.353
O 0.481 0.676 0.295
O 0.481 0.824 0.795
O 0.519 0.176 0.205
O 0.519 0.324 0.705
O 0.636 0.017 0.647
O 0.636 0.483 0.147
O 0.716 0.724 0.576
O 0.716 0.776 0.076
O 0.751 0.247 0.506
O 0.751 0.253 0.006
O 0.907 0.595 0.918
O 0.907 0.905 0.418
O 0.939 0.088 0.218
O 0.939 0.412 0.718

Output
The spin magnetization comes out at 0.00 μB per formula unit. The formation energy (no corrections) comes out at -205.86 kJ per mole of atoms. Its density of states at the Fermi level is 0.0 states/eV/f.u.



(5)
A plane-wave DFT calculation with GGA-PBEsol was carried out for a geometry-optimized Y2Se3O12 structure.

a = 6.713 Å, b = 6.713 Å, c = 11.148 Å
α = 99.50°, β = 99.50°, γ = 116.70°
Fractional positions:
Y 0.049 0.299 0.093
Y 0.299 0.049 0.593
Y 0.701 0.951 0.407
Y 0.951 0.701 0.907
Se 0.133 0.867 0.250
Se 0.214 0.452 0.424
Se 0.452 0.214 0.924
Se 0.548 0.786 0.076
Se 0.786 0.548 0.576
Se 0.867 0.133 0.750
O 0.001 0.582 0.212
O 0.044 0.940 0.121
O 0.060 0.956 0.379
O 0.073 0.681 0.606
O 0.254 0.655 0.043
O 0.265 0.369 0.288
O 0.314 0.381 0.545
O 0.319 0.927 0.894
O 0.345 0.746 0.457
O 0.369 0.265 0.788
O 0.381 0.314 0.045
O 0.418 0.999 0.288
O 0.582 0.001 0.712
O 0.619 0.686 0.955
O 0.631 0.735 0.212
O 0.655 0.254 0.543
O 0.681 0.073 0.106
O 0.686 0.619 0.455
O 0.735 0.631 0.712
O 0.746 0.345 0.957
O 0.927 0.319 0.394
O 0.940 0.044 0.621
O 0.956 0.060 0.879
O 0.999 0.418 0.788

Output
The spin magnetization comes out at 0.00 μB per formula unit. The formation energy (no corrections) comes out at -149.24 kJ per mole of atoms. Its density of states at the Fermi level is 0.0 states/eV/f.u. The offset from the most stable computed form is 38.2 meV per atom.



(6)
A plane-wave DFT calculation with GGA-PBEsol was carried out for a geometry-optimized ZnSeO2 structure.

a = 3.957 Å, b = 3.957 Å, c = 3.957 Å
α = 60.00°, β = 60.00°, γ = 60.00°
Fractional positions:
Zn 0.000 0.000 0.000
Se 0.500 0.500 0.500
O 0.250 0.250 0.250
O 0.750 0.750 0.750

Output
The spin magnetization comes out at 0.00 μB per formula unit. The formation energy (no corrections) comes out at 13.37 kJ per mole of atoms. Its density of states at the Fermi level is 1.8 states/eV/f.u.



(7)
A plane-wave DFT calculation with GGA-PBEsol was carried out for a geometry-optimized ZrSeO3 structure.

a = 4.101 Å, b = 4.101 Å, c = 4.101 Å
α = 90.00°, β = 90.00°, γ = 90.00°
Fractional positions:
Zr 0.000 0.000 0.000
Se 0.500 0.500 0.500
O 0.000 0.000 0.500
O 0.000 0.500 0.000
O 0.500 0.000 0.000

Output
The spin magnetization comes out at 0.00 μB per formula unit. The formation energy (no corrections) comes out at -141.28 kJ per mole of atoms. Its density of states at the Fermi level is 2.0 states/eV/f.u.



(8)
A plane-wave DFT calculation with GGA-PBEsol was carried out for a geometry-optimized ZrSe2O structure.

a = 8.387 Å, b = 8.387 Å, c = 8.387 Å
α = 21.94°, β = 21.94°, γ = 21.94°
Fractional positions:
Zr 0.000 0.000 0.000
Se 0.104 0.104 0.104
Se 0.896 0.896 0.896
O 0.500 0.500 0.500

Output
The spin magnetization comes out at 0.00 μB per formula unit. The formation energy (no corrections) comes out at 32.41 kJ per mole of atoms. Its density of states at the Fermi level is 3.0 states/eV/f.u.



(9)
A plane-wave DFT calculation with GGA-PBEsol was carried out for a geometry-optimized SiO2 structure.

a = 8.790 Å, b = 7.771 Å, c = 5.300 Å
α = 82.17°, β = 61.15°, γ = 36.68°
Fractional positions:
Si 0.062 0.062 0.688
Si 0.312 0.312 0.938
Si 0.688 0.688 0.062
Si 0.938 0.938 0.312
O 0.000 0.000 0.000
O 0.000 0.000 0.500
O 0.000 0.500 0.000
O 0.189 0.561 0.189
O 0.439 0.811 0.439
O 0.500 0.000 0.000
O 0.561 0.189 0.561
O 0.811 0.439 0.811

Output
The spin magnetization comes out at 0.00 μB per formula unit. The formation energy (no corrections) comes out at -269.94 kJ per mole of atoms. Its density of states at the Fermi level is 0.0 states/eV/f.u.



(10)
A plane-wave DFT calculation with GGA-PBEsol was carried out for a geometry-optimized Si2Sn2O7 structure.

a = 6.622 Å, b = 6.699 Å, c = 12.812 Å
α = 80.20°, β = 84.69°, γ = 82.74°
Fractional positions:
Si 0.063 0.212 0.201
Si 0.150 0.224 0.424
Si 0.354 0.107 0.627
Si 0.434 0.710 0.129
Si 0.566 0.290 0.871
Si 0.646 0.893 0.373
Si 0.850 0.776 0.576
Si 0.937 0.788 0.799
Sn 0.060 0.258 0.884
Sn 0.158 0.740 0.360
Sn 0.345 0.579 0.650
Sn 0.420 0.812 0.861
Sn 0.580 0.188 0.139
Sn 0.655 0.421 0.350
Sn 0.842 0.260 0.640
Sn 0.940 0.742 0.116
O 0.053 0.573 0.771
O 0.075 0.741 0.514
O 0.099 0.902 0.852
O 0.121 0.086 0.328
O 0.146 0.233 0.678
O 0.220 0.764 0.202
O 0.245 0.434 0.379
O 0.275 0.219 0.129
O 0.303 0.081 0.507
O 0.353 0.714 0.014
O 0.407 0.123 0.865
O 0.410 0.880 0.696
O 0.448 0.514 0.823
O 0.459 0.757 0.377
O 0.541 0.243 0.623
O 0.552 0.486 0.177
O 0.590 0.120 0.304
O 0.593 0.877 0.135
O 0.647 0.286 0.986
O 0.697 0.919 0.493
O 0.725 0.781 0.871
O 0.755 0.566 0.621
O 0.780 0.236 0.798
O 0.854 0.767 0.322
O 0.879 0.914 0.672
O 0.901 0.098 0.148
O 0.925 0.259 0.486
O 0.947 0.427 0.229

Output
The spin magnetization comes out at 0.00 μB per formula unit. The formation energy (no corrections) comes out at -208.29 kJ per mole of atoms. Its density of states at the Fermi level is 0.0 states/eV/f.u.



(11)
A plane-wave DFT calculation with GGA-PBEsol was carried out for a geometry-optimized ZnSi4SnO10 structure.

a = 7.484 Å, b = 7.484 Å, c = 14.833 Å
α = 90.00°, β = 90.00°, γ = 90.00°
Fractional positions:
Zn 0.250 0.750 0.000
Zn 0.250 0.750 0.500
Zn 0.750 0.250 0.000
Zn 0.750 0.250 0.500
Si 0.014 0.611 0.147
Si 0.014 0.889 0.647
Si 0.111 0.514 0.353
Si 0.111 0.986 0.853
Si 0.389 0.514 0.853
Si 0.389 0.986 0.353
Si 0.486 0.611 0.647
Si 0.486 0.889 0.147
Si 0.514 0.111 0.853
Si 0.514 0.389 0.353
Si 0.611 0.014 0.647
Si 0.611 0.486 0.147
Si 0.889 0.014 0.147
Si 0.889 0.486 0.647
Si 0.986 0.111 0.353
Si 0.986 0.389 0.853
Sn 0.250 0.250 0.117
Sn 0.250 0.250 0.617
Sn 0.750 0.750 0.383
Sn 0.750 0.750 0.883
O 0.012 0.176 0.868
O 0.012 0.324 0.368
O 0.041 0.662 0.425
O 0.041 0.838 0.925
O 0.076 0.576 0.250
O 0.076 0.924 0.750
O 0.162 0.541 0.075
O 0.162 0.959 0.575
O 0.176 0.012 0.368
O 0.176 0.488 0.868
O 0.324 0.012 0.868
O 0.324 0.488 0.368
O 0.338 0.541 0.575
O 0.338 0.959 0.075
O 0.424 0.576 0.750
O 0.424 0.924 0.250
O 0.459 0.662 0.925
O 0.459 0.838 0.425
O 0.488 0.176 0.368
O 0.488 0.324 0.868
O 0.512 0.676 0.132
O 0.512 0.824 0.632
O 0.541 0.162 0.575
O 0.541 0.338 0.075
O 0.576 0.076 0.750
O 0.576 0.424 0.250
O 0.662 0.041 0.925
O 0.662 0.459 0.425
O 0.676 0.512 0.632
O 0.676 0.988 0.132
O 0.824 0.512 0.132
O 0.824 0.988 0.632
O 0.838 0.041 0.425
O 0.838 0.459 0.925
O 0.924 0.076 0.250
O 0.924 0.424 0.750
O 0.959 0.162 0.075
O 0.959 0.338 0.575
O 0.988 0.676 0.632
O 0.988 0.824 0.132

Output
The spin magnetization comes out at 0.00 μB per formula unit. The formation energy (no corrections) comes out at -228.22 kJ per mole of atoms. Its density of states at the Fermi level is 0.0 states/eV/f.u.



(12)
A plane-wave DFT calculation with GGA-PBEsol was carried out for a geometry-optimized Sr2SiO structure.

a = 5.071 Å, b = 5.071 Å, c = 5.071 Å
α = 60.00°, β = 60.00°, γ = 60.00°
Fractional positions:
Sr 0.250 0.250 0.250
Sr 0.750 0.750 0.750
Si 0.000 0.000 0.000
O 0.500 0.500 0.500

Output
The spin magnetization comes out at 2.03 μB per formula unit. The formation energy (no corrections) comes out at -53.77 kJ per mole of atoms. Its density of states at the Fermi level is 2.2 states/eV/f.u.